K2LaAg | PBE-GGA | optimized geometry

Values from the calculation:
ΔH_f (0 K), kJ/mol of atoms: 26

Cell: 8.0597 8.0597 8.0597 Å, 152.75 131.41 56.61°
Element x y z (fractional)
K1 0.0000 0.0000 0.0000
K2 0.6875 0.1875 0.5000
La1 0.3169 0.8169 0.5000
Ag1 0.4844 0.4844 0.0000



KLaAg4 | PBE-GGA | optimized geometry

Values from the calculation:
ΔH_f (0 K), kJ/mol of atoms: -1

Cell: 5.8948 5.8948 5.8948 Å, 60.00 60.00 60.00°
Element x y z (fractional)
K1 0.0000 0.0000 0.0000
La1 0.7500 0.7500 0.7500
Ag1 0.3744 0.3744 0.3744
Ag2 0.3744 0.3744 0.8769
Ag3 0.3744 0.8769 0.3744
Ag4 0.8769 0.3744 0.3744



KLaAg2 | PBE-GGA | optimized geometry

Values from the calculation:
ΔH_f (0 K), kJ/mol of atoms: 5

Cell: 6.3263 6.3263 5.7925 Å, 105.00 105.00 30.52°
Element x y z (fractional)
K1 0.0000 0.0000 0.0000
La1 0.8020 0.8020 0.3792
Ag1 0.2383 0.2383 0.8337
Ag2 0.5522 0.5522 0.5341



KLaAg2 | PBE-GGA | optimized geometry

Values from the calculation:
ΔH_f (0 K), kJ/mol of atoms: 16

Cell: 6.2274 6.2274 6.2274 Å, 136.37 136.37 63.41°
Element x y z (fractional)
K1 0.0000 0.0000 0.0000
La1 0.2500 0.7500 0.5000
Ag1 0.5000 0.5000 0.0000
Ag2 0.7500 0.2500 0.5000



K2LaAg | PBE-GGA | optimized geometry

Values from the calculation:
ΔH_f (0 K), kJ/mol of atoms: 34

Cell: 3.7949 6.7519 5.9827 Å, 90.00 93.90 90.00°
Element x y z (fractional)
K1 0.2149 0.0000 0.2699
K2 0.7851 0.0000 0.7301
La1 0.5000 0.5000 0.0000
Ag1 0.0000 0.5000 0.5000



KLaAg2 | PBE-GGA | optimized geometry

Values from the calculation:
ΔH_f (0 K), kJ/mol of atoms: -10

Cell: 3.9583 3.9583 8.2135 Å, 90.00 90.00 90.00°
Element x y z (fractional)
K1 0.0000 0.0000 0.0000
La1 0.0000 0.0000 0.5000
Ag1 0.5000 0.5000 0.3099
Ag2 0.5000 0.5000 0.6901



KLa3Ag | PBE-GGA | optimized geometry

Values from the calculation:
ΔH_f (0 K), kJ/mol of atoms: 107

Cell: 5.6445 5.6445 5.6445 Å, 90.00 90.00 90.00°
Element x y z (fractional)
K1 0.0000 0.0000 0.0000
La1 0.0000 0.0000 0.5000
La2 0.0000 0.5000 0.0000
La3 0.5000 0.0000 0.0000
Ag1 0.5000 0.5000 0.5000



KLaAg2 | PBE-GGA | optimized geometry

Values from the calculation:
ΔH_f (0 K), kJ/mol of atoms: 27

Cell: 7.0240 7.0240 7.0240 Å, 105.55 105.55 117.64°
Element x y z (fractional)
K1 0.0000 0.0000 0.0000
K2 0.7500 0.2500 0.5000
La1 0.2500 0.7500 0.5000
La2 0.5000 0.5000 0.0000
Ag1 0.1375 0.6250 0.0125
Ag2 0.3750 0.3875 0.5125
Ag3 0.6125 0.1250 0.9875
Ag4 0.8750 0.8625 0.4875



KLa2Ag2 | PBE-GGA | optimized geometry

Values from the calculation:
ΔH_f (0 K), kJ/mol of atoms: -1

Cell: 9.1110 9.1110 3.8711 Å, 90.00 90.00 90.00°
Element x y z (fractional)
K1 0.0000 0.0000 0.0000
K2 0.5000 0.5000 0.0000
La1 0.1470 0.3530 0.5000
La2 0.3530 0.8530 0.5000
La3 0.6470 0.1470 0.5000
La4 0.8530 0.6470 0.5000
Ag1 0.1381 0.6381 0.0000
Ag2 0.3619 0.1381 0.0000
Ag3 0.6381 0.8619 0.0000
Ag4 0.8619 0.3619 0.0000



KLaAg | PBE-GGA | optimized geometry

Values from the calculation:
ΔH_f (0 K), kJ/mol of atoms: 9

Cell: 8.2248 8.2248 8.2248 Å, 153.14 153.14 38.35°
Element x y z (fractional)
K1 0.0000 0.0000 0.0000
La1 0.7388 0.7388 0.0000
Ag1 0.3446 0.3446 0.0000



KLaAg2 | PBE-GGA | optimized geometry

Values from the calculation:
ΔH_f (0 K), kJ/mol of atoms: 6

Cell: 4.3006 4.3006 9.1008 Å, 103.57 103.57 59.83°
Element x y z (fractional)
K1 0.0000 0.0000 0.0000
La1 0.5000 0.5000 0.5000
Ag1 0.2396 0.2396 0.7186
Ag2 0.7604 0.7604 0.2814



KLaAg3 | PBE-GGA | optimized geometry

Values from the calculation:
ΔH_f (0 K), kJ/mol of atoms: 41

Cell: 5.8612 5.8612 5.8612 Å, 90.00 90.00 90.00°
Element x y z (fractional)
K1 0.0000 0.0000 0.0000
La1 0.5000 0.5000 0.5000
Ag1 0.0000 0.5000 0.5000
Ag2 0.5000 0.0000 0.5000
Ag3 0.5000 0.5000 0.0000